1.
Y2Mg2Cu | the Alexandria database | GGA-PBE | relaxed; N(E_F) = 0.790 states/eV/atom; space-group type = No. 129; magnetization = 0.0 μB/cell; calculated formation energy = 0.440 eV per atom
1.0
3.967 0.000 0.000
0.000 3.967 0.000
0.000 0.000 17.273
Y Mg Cu
4 4 2
direct
0.250 0.250 0.167 Y
0.250 0.750 0.500 Y
0.750 0.250 0.500 Y
0.750 0.750 0.833 Y
0.250 0.250 0.345 Mg
0.250 0.750 0.000 Mg
0.750 0.250 0.000 Mg
0.750 0.750 0.655 Mg
0.250 0.250 0.747 Cu
0.750 0.750 0.253 Cu

2.
Y2MgCu2 | the Alexandria database | GGA-PBE | relaxed; N(E_F) = 0.929 states/eV/atom; space-group type = No. 36; magnetization = 0.0 μB/cell; calculated formation energy = -0.124 eV per atom
1.0
1.790 -9.317 0.000
1.790 9.317 0.000
0.000 0.000 6.598
Y Mg Cu
4 2 4
direct
0.093 0.907 0.500 Y
0.275 0.725 0.687 Y
0.725 0.275 0.187 Y
0.907 0.093 0.000 Y
0.081 0.919 0.006 Mg
0.919 0.081 0.506 Mg
0.343 0.657 0.278 Cu
0.498 0.502 0.252 Cu
0.502 0.498 0.752 Cu
0.657 0.343 0.778 Cu

3.
Y2MgCu2 | the Alexandria database | GGA-PBE | relaxed; N(E_F) = 0.961 states/eV/atom; space-group type = No. 12; magnetization = 0.0 μB/cell; calculated formation energy = -0.017 eV per atom
1.0
6.222 -1.668 0.000
6.222 1.668 0.000
-1.398 0.000 5.409
Y Mg Cu
2 1 2
direct
0.136 0.136 0.069 Y
0.864 0.864 0.931 Y
0.500 0.500 0.500 Mg
0.199 0.199 0.608 Cu
0.801 0.801 0.392 Cu

4.
YMg2ZnCu2 | the Alexandria database | GGA-PBE | relaxed; N(E_F) = 0.711 states/eV/atom; space-group type = No. 139; magnetization = 0.0 μB/cell; calculated formation energy = 0.101 eV per atom
1.0
-2.492 2.492 5.195
2.492 -2.492 5.195
2.492 2.492 -5.195
Y Mg Zn Cu
1 2 1 2
direct
0.000 0.000 0.000 Y
0.250 0.750 0.500 Mg
0.750 0.250 0.500 Mg
0.500 0.500 0.000 Zn
0.274 0.274 0.000 Cu
0.726 0.726 0.000 Cu

5.
Y2MgZn3Cu12 | the Alexandria database | GGA-PBE | relaxed; N(E_F) = 0.455 states/eV/atom; space-group type = No. 166; magnetization = 0.0 μB/cell; calculated formation energy = 0.040 eV per atom
1.0
4.407 2.544 4.104
-4.407 2.544 4.104
0.000 -5.089 4.104
Y Mg Zn Cu
2 1 3 12
direct
0.205 0.205 0.205 Y
0.795 0.795 0.795 Y
0.500 0.500 0.500 Mg
0.000 0.500 0.500 Zn
0.500 0.000 0.500 Zn
0.500 0.500 0.000 Zn
0.086 0.086 0.634 Cu
0.086 0.634 0.086 Cu
0.217 0.700 0.700 Cu
0.300 0.300 0.783 Cu
0.300 0.783 0.300 Cu
0.366 0.914 0.914 Cu
0.634 0.086 0.086 Cu
0.700 0.217 0.700 Cu
0.700 0.700 0.217 Cu
0.783 0.300 0.300 Cu
0.914 0.366 0.914 Cu
0.914 0.914 0.366 Cu

6.
YbMg2Cu9 | the Alexandria database | GGA-PBE | relaxed; N(E_F) = 1.472 states/eV/atom; space-group type = No. 194; magnetization = 0.3 μB/cell; calculated formation energy = -0.160 eV per atom
1.0
5.047 0.000 0.000
-2.524 4.371 0.000
0.000 0.000 16.080
Yb Mg Cu
2 4 18
direct
0.333 0.667 0.250 Yb
0.667 0.333 0.750 Yb
0.333 0.667 0.032 Mg
0.333 0.667 0.468 Mg
0.667 0.333 0.532 Mg
0.667 0.333 0.968 Mg
0.000 0.000 0.000 Cu
0.000 0.000 0.250 Cu
0.000 0.000 0.500 Cu
0.000 0.000 0.750 Cu
0.168 0.337 0.623 Cu
0.168 0.337 0.877 Cu
0.168 0.832 0.623 Cu
0.168 0.832 0.877 Cu
0.333 0.667 0.750 Cu
0.337 0.168 0.123 Cu
0.337 0.168 0.377 Cu
0.663 0.832 0.623 Cu
0.663 0.832 0.877 Cu
0.667 0.333 0.250 Cu
0.832 0.168 0.123 Cu
0.832 0.168 0.377 Cu
0.832 0.663 0.123 Cu
0.832 0.663 0.377 Cu